1.
A plane-wave DFT calculation with GGA-PBEsol was carried out for a geometry-optimized Sc2Si2Sb structure.

Summary:
As for the formation energy (no corrections): -57 kJ per mole of atoms. As for the crystal system: tetragonal. As for the symmetry: P4/mbm (127). The calculation puts the volume at 189.7 Å³/cell.

a b c (Å): 3.7963 7.0687 7.0687
angles (deg): 90.00 90.00 90.00
Positions (direct):
Si  0.0000  0.6163  0.1163
Si  0.0000  0.8837  0.6163
Sc  0.5000  0.6790  0.8210
Si  0.0000  0.3837  0.8837
Sc  0.5000  0.3210  0.1790
Sb  0.0000  0.0000  0.0000
Si  0.0000  0.1163  0.3837
Sc  0.5000  0.8210  0.3210
Sb  0.0000  0.5000  0.5000
Sc  0.5000  0.1790  0.6790



2.
A plane-wave DFT calculation with GGA-PBEsol was carried out for a geometry-optimized PdS3N structure.

Summary:
As for the formation energy (no corrections): 97 kJ per mole of atoms. As for the crystal system: cubic. As for the symmetry: Pm-3m (221). The calculation puts the volume at 66.6 Å³/cell. As for the energy relative to the lowest polymorph listed for this composition: 0 meV/atom.

a b c (Å): 4.0539 4.0539 4.0539
angles (deg): 90.00 90.00 90.00
Positions (direct):
S  0.5000  0.0000  0.0000
Pd  0.5000  0.5000  0.5000
N  0.0000  0.0000  0.0000
S  0.0000  0.0000  0.5000
S  0.0000  0.5000  0.0000



Q: Which formula does entry 2 have?
A: PdS3N



Q: What is the formation energy (no corrections) in the second record?
A: 97 kJ per mole of atoms



Q: Among the records above, which one has the highest formation energy (no corrections)?
A: PdS3N